CoSbAu2 | SCAN | PBEsol geometry

abc: 6.4479 6.4479 6.4479
angles: 90.00 90.00 90.00
Last column: nearest neighbours and their distance in Å.
Space group F-43m (No. 216)
Inequivalent atoms, fractional coordinates:
Co: 0.0000 0.0000 0.0000 [4 per cell]  4 Au 2.79, 4 Sb 2.79
Sb: 0.2500 0.2500 0.7500 [4 per cell]  4 Co 2.79, 4 Au 2.79
Au: 0.0000 0.0000 0.5000 [4 per cell]  4 Sb 2.79, 4 Au 2.79
Au: 0.2500 0.2500 0.2500 [4 per cell]  4 Co 2.79, 4 Au 2.79

Its formation energy without anion corrections is 0.3443 eV/atom.

---

Sr3LaTc | SCAN | PBEsol geometry

abc: 5.7364 5.7364 5.7364
angles: 90.00 90.00 90.00
Last column: nearest neighbours and their distance in Å.
Space group Pm-3m (No. 221)
Inequivalent atoms, fractional coordinates:
Sr: 0.0000 0.0000 0.5000 [3 per cell]  2 Tc 2.87
La: 0.5000 0.5000 0.5000 [1 per cell]  12 Sr 4.06
Tc: 0.0000 0.0000 0.0000 [1 per cell]  6 Sr 2.87

The energy of formation comes out at 0.692 eV per atom.

---

YMoAu2 | SCAN | PBEsol geometry

abc: 6.7515 6.7515 6.7515
angles: 90.00 90.00 90.00
Last column: nearest neighbours and their distance in Å.
Space group Fm-3m (No. 225)
Inequivalent atoms, fractional coordinates:
Y: 0.0000 0.0000 0.0000 [4 per cell]  8 Au 2.92
Mo: 0.0000 0.0000 0.5000 [4 per cell]  8 Au 2.92
Au: 0.2500 0.2500 0.2500 [8 per cell]  4 Mo 2.92, 4 Y 2.92

The calculation puts the distance to the lowest polymorph of the same formula at 0.0 meV per atom. The energy of formation comes out at -0.228 eV per atom.

---

AlCdAu2 | SCAN | PBEsol geometry

abc: 3.0470 3.0470 25.9493
angles: 90.00 90.00 120.00
Last column: nearest neighbours and their distance in Å.
Space group R-3m (No. 166, hexagonal axes)
Inequivalent atoms, fractional coordinates:
Al: 0.0000 0.0000 0.0000 [3 per cell]  6 Au 2.63
Cd: 0.0000 0.0000 0.5000 [3 per cell]  6 Au 2.95, 6 Cd 3.05
Au: 0.0000 0.0000 0.2580 [6 per cell]  3 Al 2.63

The calculation puts the distance to the lowest polymorph of the same formula at 70.5 meV per atom. The energy of formation comes out at -0.331 eV per atom.

---

LiAs4Pt | SCAN | PBEsol geometry

abc: 7.6199 7.6199 7.6199
angles: 90.00 90.00 90.00
Last column: nearest neighbours and their distance in Å.
Space group F-43m (No. 216)
Inequivalent atoms, fractional coordinates:
Li: 0.0000 0.0000 0.0000 [4 per cell]  12 As 3.16, 4 Pt 3.30
As: 0.1256 0.1256 0.6256 [16 per cell]  6 As 2.68-2.71
Pt: 0.2500 0.2500 0.2500 [4 per cell]  12 As 3.16, 4 Li 3.30

The energy of formation comes out at 0.341 eV per atom.

---

NiOsRu2 | SCAN | PBEsol geometry

abc: 2.7055 4.4754 8.8118
angles: 90.00 90.00 90.00
Last column: nearest neighbours and their distance in Å.
Space group Cmmm (No. 65)
Inequivalent atoms, fractional coordinates:
Ni: 0.0000 0.0000 0.0000 [2 per cell]  4 Ru 2.52, 6 Ni 2.61-2.71
Os: 0.0000 0.0000 0.5000 [2 per cell]  6 Os 2.61-2.71, 4 Ru 2.65
Ru: 0.0000 0.5000 0.2416 [4 per cell]  2 Ni 2.52, 6 Ru 2.61-2.71, 2 Os 2.65

The calculation puts the distance to the lowest polymorph of the same formula at 361.2 meV per atom. The energy of formation comes out at 0.498 eV per atom.

---

ZnSb2Ru2 | SCAN | PBEsol geometry

abc: 4.4240 4.4240 10.4535
angles: 90.00 90.00 90.00
Last column: nearest neighbours and their distance in Å.
Space group I4/mmm (No. 139)
Inequivalent atoms, fractional coordinates:
Zn: 0.0000 0.0000 0.0000 [2 per cell]  8 Sb 3.42, 8 Ru 3.42
Sb: 0.0000 0.0000 0.3687 [4 per cell]  4 Ru 2.54, 1 Sb 2.74
Ru: 0.0000 0.5000 0.2500 [4 per cell]  4 Sb 2.54

Its formation energy without anion corrections is 0.3007 eV/atom.

---

La3SiS | SCAN | PBEsol geometry

abc: 5.3371 5.3371 5.3371
angles: 90.00 90.00 90.00
Last column: nearest neighbours and their distance in Å.
Space group Pm-3m (No. 221)
Inequivalent atoms, fractional coordinates:
La: 0.0000 0.0000 0.5000 [3 per cell]  2 S 2.67
Si: 0.5000 0.5000 0.5000 [1 per cell]  12 La 3.77
S: 0.0000 0.0000 0.0000 [1 per cell]  6 La 2.67

Its formation energy without anion corrections is -0.8241 eV/atom.

---

CsGa2I2 | SCAN | PBEsol geometry

abc: 4.0629 4.0629 20.3329
angles: 90.00 90.00 90.00
Last column: nearest neighbours and their distance in Å.
Space group I4/mmm (No. 139)
Inequivalent atoms, fractional coordinates:
Cs: 0.0000 0.0000 0.0000 [2 per cell]  8 I 3.75, 4 Cs 4.06
Ga: 0.0000 0.5000 0.2500 [4 per cell]  4 Ga 2.87
I: 0.0000 0.0000 0.3817 [4 per cell]  4 Ga 3.36, 4 Cs 3.75

Its formation energy without anion corrections is -0.5883 eV/atom.

---

KTaAg2 | SCAN | PBEsol geometry

abc: 6.7180 6.7180 6.7180
angles: 90.00 90.00 90.00
Last column: nearest neighbours and their distance in Å.
Space group F-43m (No. 216)
Inequivalent atoms, fractional coordinates:
K: 0.0000 0.0000 0.0000 [4 per cell]  4 Ag 2.91, 4 Ta 2.91
Ta: 0.2500 0.2500 0.2500 [4 per cell]  4 K 2.91, 4 Ag 2.91
Ag: 0.0000 0.0000 0.5000 [4 per cell]  4 Ta 2.91, 4 Ag 2.91
Ag: 0.2500 0.2500 0.7500 [4 per cell]  4 K 2.91, 4 Ag 2.91

The calculation puts the distance to the lowest polymorph of the same formula at 631.9 meV per atom. The energy of formation comes out at 1.238 eV per atom.

---

CdFe2Cu | SCAN | PBEsol geometry

abc: 2.8759 4.4062 8.4184
angles: 90.00 90.00 90.00
Last column: nearest neighbours and their distance in Å.
Space group Imm2 (No. 44)
Inequivalent atoms, fractional coordinates:
Cd: 0.0000 0.0000 0.0000 [2 per cell]  8 Fe 2.63-2.92, 2 Cu 2.65, 2 Cd 2.88
Fe: 0.0000 0.0000 0.5092 [2 per cell]  2 Fe 2.33, 2 Cu 2.51
Fe: 0.0000 0.5000 0.2269 [2 per cell]  2 Fe 2.33
Cu: 0.0000 0.5000 0.7649 [2 per cell]  6 Fe 2.51-2.65, 2 Cd 2.65

The energy of formation comes out at 0.268 eV per atom.

---

LiMgAg2 | SCAN | PBEsol geometry

abc: 4.7475 3.0001 4.9730
angles: 90.00 108.15 90.00
Last column: nearest neighbours and their distance in Å.
Space group P2/m (No. 10)
Inequivalent atoms, fractional coordinates:
Li: 0.0000 0.0000 0.0000 [1 per cell]  6 Ag 2.81-2.85, 4 Mg 2.90, 2 Li 3.00
Mg: 0.0000 0.5000 0.5000 [1 per cell]  6 Ag 2.81-2.85, 4 Li 2.90, 2 Mg 3.00
Ag: 0.5000 0.0000 0.5000 [1 per cell]  4 Mg 2.81, 2 Li 2.85, 6 Ag 2.90-3.00
Ag: 0.5000 0.5000 0.0000 [1 per cell]  4 Li 2.81, 2 Mg 2.85, 6 Ag 2.90-3.00

The energy of formation comes out at -0.144 eV per atom.

---

Total moment
In order: 1.386; 2.426; 2.825; 0.000; 0.000; 3.161; 0.000; 0.000; 0.000; 0.000; 5.376; 0.000
Unit: μB/f.u.
Ρ
In order: 14.238; 4.396; 12.492; 12.734; 7.532; 14.040; 8.296; 5.209; 5.206; 9.547; 8.955; 6.093
Unit: g cm⁻³